ZnSiCl2 | SCAN | single point on PBEsol structure

```
ZnSiCl2
1.0
3.226 -0.008 -0.012
-1.574 4.995 -0.042
-1.574 -1.873 4.631
Si Cl Zn
1 2 1
Direct
0.000 0.000 0.000
0.000 0.000 0.500
0.000 0.500 0.000
0.000 0.500 0.500
```

Output
The value obtained for the calculated volume is 18.54 Å³/atom. The energy relative to the elements, uncorrected is 0.30 eV/f.u. The calculation puts the theoretical density at 3.680 g cm⁻³. For the offset from the most stable computed form, the calculation gives 0 meV/atom. The total energy is -39.19 eV/cell. As for the density of states at the Fermi level: 1.04 states/eV per cell.